Arrangement 1

A plane-wave DFT calculation with PBE was carried out for Mn2MoH2 after structural relaxation.

a b c (Å): 5.677 5.677 2.705
angles (deg): 90.00 90.00 90.00
Sites, in units of the cell vectors:
H 0.849 0.651 0.000
H 0.651 0.151 0.000
Mn 0.372 0.128 0.500
H 0.151 0.349 0.000
Mn 0.872 0.372 0.500
Mn 0.628 0.872 0.500
Mo 0.000 0.000 0.000
H 0.349 0.849 0.000
Mo 0.500 0.500 0.000
Mn 0.128 0.628 0.500

Output
The space group is P4/mbm.

=====

Arrangement 2

A plane-wave DFT calculation with PBE was carried out for Mn2MoH2 after structural relaxation.

a b c (Å): 2.749 2.749 6.201
angles (deg): 77.20 77.20 90.00
Last column: magnetic moment on the atom in μB.
Sites, in units of the cell vectors:
H 0.250 0.750 0.500  -0.02
H 0.750 0.250 0.500  -0.02
Mo 0.000 0.000 0.000  -0.45
Mn 0.342 0.342 0.315  1.83
Mn 0.658 0.658 0.685  1.83

Output
The space group is I4/mmm.

=====

Order from most stable to least stable according to the calculation: arrangement 2, arrangement 1

=====

Arrangement 1

A plane-wave DFT calculation with PBE was carried out for MnMo3H after structural relaxation.

a b c (Å): 4.456 4.456 4.456
angles (deg): 90.00 90.00 90.00
Sites, in units of the cell vectors:
Mo 0.000 0.500 0.000
Mo 0.000 0.000 0.500
H 0.500 0.500 0.500
Mn 0.000 0.000 0.000
Mo 0.500 0.000 0.000

Output
The space group is Pm-3m.

=====

Arrangement 2

A plane-wave DFT calculation with PBE was carried out for MnMo3H after structural relaxation.

a b c (Å): 3.950 3.950 3.950
angles (deg): 90.00 90.00 90.00
Sites, in units of the cell vectors:
H 0.000 0.000 0.000
Mn 0.500 0.500 0.500
Mo 0.000 0.500 0.000
Mo 0.500 0.000 0.000
Mo 0.000 0.000 0.500

Output
The space group is Pm-3m.

=====

Order from most stable to least stable according to the calculation: arrangement 2, arrangement 1

=====

Arrangement 1

A plane-wave DFT calculation with PBE was carried out for Mn2NbMoH after structural relaxation.

a b c (Å): 3.757 3.757 4.275
angles (deg): 90.00 90.00 90.00
Last column: magnetic moment on the atom in μB.
Sites, in units of the cell vectors:
H 0.000 0.000 0.000  -0.02
Mn 0.500 0.000 0.000  2.13
Mo 0.500 0.500 0.500  -0.21
Nb 0.000 0.000 0.500  -0.11
Mn 0.000 0.500 0.000  2.13

Output
The space group is P4/mmm.

=====

Arrangement 2

A plane-wave DFT calculation with PBE was carried out for Mn2NbMoH after structural relaxation.

a b c (Å): 3.768 3.768 4.243
angles (deg): 90.00 90.00 90.00
Last column: magnetic moment on the atom in μB.
Sites, in units of the cell vectors:
Nb 0.500 0.500 0.500  -0.20
Mo 0.000 0.000 0.500  -0.11
H 0.000 0.000 0.000  -0.02
Mn 0.000 0.500 0.000  2.14
Mn 0.500 0.000 0.000  2.14

Output
The space group is P4/mmm.

=====

Order from most stable to least stable according to the calculation: arrangement 1, arrangement 2

=====

Arrangement 1

A plane-wave DFT calculation with PBE was carried out for MnNi2MoH after structural relaxation.

a b c (Å): 3.591 3.591 3.995
angles (deg): 90.00 90.00 90.00
Last column: magnetic moment on the atom in μB.
Sites, in units of the cell vectors:
Ni 0.500 0.000 0.000  -0.09
Mo 0.000 0.000 0.500  -0.87
Mn 0.500 0.500 0.500  2.12
H 0.000 0.000 0.000  0.01
Ni 0.000 0.500 0.000  -0.09

Output
The space group is P4/mmm.

=====

Arrangement 2

A plane-wave DFT calculation with PBE was carried out for MnNi2MoH after structural relaxation.

a b c (Å): 3.568 3.568 3.910
angles (deg): 90.00 90.00 90.00
Last column: magnetic moment on the atom in μB.
Sites, in units of the cell vectors:
Ni 0.000 0.500 0.000  -0.06
H 0.000 0.000 0.000  0.00
Mo 0.500 0.500 0.500  -0.31
Mn 0.000 0.000 0.500  0.50
Ni 0.500 0.000 0.000  -0.06

Output
The space group is P4/mmm.

=====

Order from most stable to least stable according to the calculation: arrangement 2, arrangement 1

=====

Arrangement 1

A plane-wave DFT calculation with PBE was carried out for Mn2NiMoH after structural relaxation.

a b c (Å): 3.671 3.671 3.800
angles (deg): 90.00 90.00 90.00
Last column: magnetic moment on the atom in μB.
Sites, in units of the cell vectors:
Mn 0.000 0.500 0.000  1.28
Mo 0.000 0.000 0.500  -0.57
Mn 0.500 0.000 0.000  1.28
Ni 0.500 0.500 0.500  -0.22
H 0.000 0.000 0.000  -0.01

Output
The space group is P4/mmm.

=====

Arrangement 2

A plane-wave DFT calculation with PBE was carried out for Mn2NiMoH after structural relaxation.

a b c (Å): 3.766 3.766 3.561
angles (deg): 90.00 90.00 90.00
Last column: magnetic moment on the atom in μB.
Sites, in units of the cell vectors:
Mo 0.500 0.500 0.500  -0.67
H 0.000 0.000 0.000  -0.01
Mn 0.500 0.000 0.000  1.33
Ni 0.000 0.000 0.500  -0.12
Mn 0.000 0.500 0.000  1.33

Output
The space group is P4/mmm.

=====

Order from most stable to least stable according to the calculation: arrangement 2, arrangement 1

=====

Arrangement 1

A plane-wave DFT calculation with PBE was carried out for Mn2MoHOs after structural relaxation.

a b c (Å): 3.798 3.798 3.810
angles (deg): 90.00 90.00 90.00
Last column: magnetic moment on the atom in μB.
Sites, in units of the cell vectors:
Mn 0.000 0.500 0.000  1.42
Mn 0.500 0.000 0.000  1.42
Mo 0.500 0.500 0.500  -0.49
Os 0.000 0.000 0.500  0.00
H 0.000 0.000 0.000  -0.01

Output
The space group is P4/mmm.

=====

Arrangement 2

A plane-wave DFT calculation with PBE was carried out for Mn2MoHOs after structural relaxation.

a b c (Å): 3.761 3.761 3.871
angles (deg): 90.00 90.00 90.00
Last column: magnetic moment on the atom in μB.
Sites, in units of the cell vectors:
Mn 0.500 0.000 0.000  1.32
Mo 0.000 0.000 0.500  -0.34
H 0.000 0.000 0.000  -0.01
Mn 0.000 0.500 0.000  1.32
Os 0.500 0.500 0.500  -0.07

Output
The space group is P4/mmm.

=====

Order from most stable to least stable according to the calculation: arrangement 2, arrangement 1

=====

Arrangement 1

A plane-wave DFT calculation with PBE was carried out for Mn2MoHRu after structural relaxation.

a b c (Å): 3.790 3.790 3.794
angles (deg): 90.00 90.00 90.00
Last column: magnetic moment on the atom in μB.
Sites, in units of the cell vectors:
Mn 0.000 0.500 0.000  1.50
Mo 0.500 0.500 0.500  -0.56
Ru 0.000 0.000 0.500  0.00
Mn 0.500 0.000 0.000  1.50
H 0.000 0.000 0.000  -0.01

Output
The space group is P4/mmm.

=====

Arrangement 2

A plane-wave DFT calculation with PBE was carried out for Mn2MoHRu after structural relaxation.

a b c (Å): 3.746 3.746 3.885
angles (deg): 90.00 90.00 90.00
Last column: magnetic moment on the atom in μB.
Sites, in units of the cell vectors:
H 0.000 0.000 0.000  -0.01
Mo 0.000 0.000 0.500  -0.41
Mn 0.000 0.500 0.000  1.43
Ru 0.500 0.500 0.500  -0.09
Mn 0.500 0.000 0.000  1.43

Output
The space group is P4/mmm.

=====

Order from most stable to least stable according to the calculation: arrangement 1, arrangement 2

=====

Arrangement 1

A plane-wave DFT calculation with PBE was carried out for MnMo2HRu after structural relaxation.

a b c (Å): 3.946 3.946 3.881
angles (deg): 90.00 90.00 90.00
Last column: magnetic moment on the atom in μB.
Sites, in units of the cell vectors:
Mo 0.500 0.000 0.000  -0.28
Mo 0.000 0.500 0.000  -0.28
Ru 0.000 0.000 0.500  -0.08
Mn 0.500 0.500 0.500  2.38
H 0.000 0.000 0.000  0.00

Output
The space group is P4/mmm.

=====

Arrangement 2

A plane-wave DFT calculation with PBE was carried out for MnMo2HRu after structural relaxation.

a b c (Å): 3.959 3.959 3.797
angles (deg): 90.00 90.00 90.00
Last column: magnetic moment on the atom in μB.
Sites, in units of the cell vectors:
H 0.000 0.000 0.000  -0.01
Mn 0.000 0.000 0.500  1.95
Mo 0.000 0.500 0.000  -0.23
Ru 0.500 0.500 0.500  -0.07
Mo 0.500 0.000 0.000  -0.23

Output
The space group is P4/mmm.

=====

Order from most stable to least stable according to the calculation: arrangement 2, arrangement 1

=====

Arrangement 1

A plane-wave DFT calculation with PBE was carried out for TaMn2MoH after structural relaxation.

a b c (Å): 3.774 3.774 4.213
angles (deg): 90.00 90.00 90.00
Last column: magnetic moment on the atom in μB.
Sites, in units of the cell vectors:
Ta 0.500 0.500 0.500  -0.14
Mo 0.000 0.000 0.500  -0.09
Mn 0.500 0.000 0.000  2.07
H 0.000 0.000 0.000  -0.02
Mn 0.000 0.500 0.000  2.07

Output
The space group is P4/mmm.

=====

Arrangement 2

A plane-wave DFT calculation with PBE was carried out for TaMn2MoH after structural relaxation.

a b c (Å): 3.764 3.764 4.245
angles (deg): 90.00 90.00 90.00
Last column: magnetic moment on the atom in μB.
Sites, in units of the cell vectors:
Mn 0.500 0.000 0.000  2.06
Mo 0.500 0.500 0.500  -0.21
Mn 0.000 0.500 0.000  2.06
H 0.000 0.000 0.000  -0.02
Ta 0.000 0.000 0.500  -0.10

Output
The space group is P4/mmm.

=====

Order from most stable to least stable according to the calculation: arrangement 1, arrangement 2

=====

Arrangement 1

A plane-wave DFT calculation with PBE was carried out for Mn2MoHW after structural relaxation.

a b c (Å): 3.734 4.139 3.734
angles (deg): 90.00 90.00 90.00
Last column: magnetic moment on the atom in μB.
Sites, in units of the cell vectors:
Mo 0.000 0.500 0.000  -0.06
Mn 0.500 0.000 0.000  1.89
Mn 0.000 0.000 0.500  1.93
H 0.000 0.000 0.000  -0.01
W 0.500 0.500 0.500  -0.21

Output
The space group is P4/mmm.

=====

Arrangement 2

A plane-wave DFT calculation with PBE was carried out for Mn2MoHW after structural relaxation.

a b c (Å): 3.739 3.739 4.126
angles (deg): 90.00 90.00 90.00
Last column: magnetic moment on the atom in μB.
Sites, in units of the cell vectors:
H 0.000 0.000 0.000  -0.01
W 0.000 0.000 0.500  -0.16
Mo 0.500 0.500 0.500  -0.23
Mn 0.000 0.500 0.000  1.86
Mn 0.500 0.000 0.000  1.86

Output
The space group is P4/mmm.

=====

Order from most stable to least stable according to the calculation: arrangement 1, arrangement 2